Record 1
ZnSb3Pd12 after structural relaxation. Source: Alexandria via LeMat-Bulk, functional GGA-PBE.

The structure in POSCAR format:
```
ZnSb3Pd12
1.0
4.0251 0.0000 0.0000
0.0000 4.0251 0.0000
0.0000 0.0000 16.0238
Zn Sb Pd
1 3 12
direct
0.0000 0.0000 0.0000
0.0000 0.0000 0.2377
0.0000 0.0000 0.5000
0.0000 0.0000 0.7623
0.0000 0.5000 0.1201
0.0000 0.5000 0.3739
0.0000 0.5000 0.6261
0.0000 0.5000 0.8799
0.5000 0.0000 0.1201
0.5000 0.0000 0.3739
0.5000 0.0000 0.6261
0.5000 0.0000 0.8799
0.5000 0.5000 0.0000
0.5000 0.5000 0.2502
0.5000 0.5000 0.5000
0.5000 0.5000 0.7498
```

## Properties
- E_form (uncorrected): -386.4 meV per atom
- M_tot: 0.000 μB per atom

Record 2
Zn2SbPd6 after structural relaxation. Source: Alexandria via LeMat-Bulk, functional GGA-PBE.

The structure in POSCAR format:
```
Zn2SbPd6
1.0
4.2584 -2.0267 0.0000
4.2584 2.0267 0.0000
-1.5031 0.0000 8.2977
Zn Sb Pd
2 1 6
direct
0.2001 0.2001 0.2605
0.7999 0.7999 0.7395
0.5000 0.5000 0.0000
0.1574 0.1574 0.5537
0.1714 0.1714 0.8924
0.4842 0.4842 0.6812
0.5158 0.5158 0.3188
0.8286 0.8286 0.1076
0.8426 0.8426 0.4463
```

## Properties
- E_form (uncorrected): -366.6 meV per atom
- M_tot: 0.000 μB per atom

Record 3
ZnSbPd3 after structural relaxation. Source: Alexandria via LeMat-Bulk, functional GGA-PBE.

The structure in POSCAR format:
```
ZnSbPd3
1.0
5.3780 0.0000 0.0000
0.0000 4.3987 0.0000
-2.5076 0.0000 6.9335
Zn Sb Pd
2 2 6
direct
0.1240 0.2500 0.0988
0.8760 0.7500 0.9012
0.2922 0.7500 0.6921
0.7078 0.2500 0.3079
0.0018 0.7500 0.2750
0.3188 0.2500 0.4774
0.4065 0.7500 0.0927
0.5935 0.2500 0.9073
0.6812 0.7500 0.5226
0.9982 0.2500 0.7250
```

## Properties
- E_form (uncorrected): -425.4 meV per atom
- Excess energy over the best structure of this formula in the dataset: 0 meV per atom
- M_tot: 0.000 μB per atom

Record 4
Zn3SbPd12 after structural relaxation. Source: Alexandria via LeMat-Bulk, functional GGA-PBE.

The structure in POSCAR format:
```
Zn3SbPd12
1.0
3.9730 0.0000 0.0000
0.0000 3.9730 0.0000
0.0000 0.0000 15.6073
Zn Sb Pd
3 1 12
direct
0.0000 0.0000 0.0000
0.0000 0.0000 0.2434
0.0000 0.0000 0.7566
0.0000 0.0000 0.5000
0.0000 0.5000 0.1218
0.0000 0.5000 0.3688
0.0000 0.5000 0.6312
0.0000 0.5000 0.8782
0.5000 0.0000 0.1218
0.5000 0.0000 0.3688
0.5000 0.0000 0.6312
0.5000 0.0000 0.8782
0.5000 0.5000 0.0000
0.5000 0.5000 0.2454
0.5000 0.5000 0.5000
0.5000 0.5000 0.7546
```

## Properties
- E_form (uncorrected): -330.2 meV per atom
- M_tot: 0.000 μB per atom

Which of these has the lowest E_form (uncorrected)?
ZnSbPd3